1.
This record from Alexandria describes a relaxed structure of Ca3Pm3ErS8. The functional is GGA-PBE.

## Properties
SG: No. 166
M_tot: 0.00 Bohr magnetons per cell
Fermi-level density of states: 4.35 states/eV/cell
formation energy (no corrections): -2.09 eV/atom
electronic total energy: -5.943 eV/atom

Unit cell a=8.066 b=8.066 c=8.066 alpha=59.64 beta=59.64 gamma=59.64
Fractional coordinates of all 15 atoms:
Ca 0.000 0.500 0.500
Ca 0.500 0.000 0.500
Ca 0.500 0.500 0.000
Pm 0.000 0.000 0.500
Pm 0.000 0.500 0.000
Pm 0.500 0.000 0.000
Er 0.500 0.500 0.500
S 0.251 0.251 0.251
S 0.259 0.259 0.741
S 0.259 0.741 0.259
S 0.259 0.741 0.741
S 0.741 0.259 0.259
S 0.741 0.259 0.741
S 0.741 0.741 0.259
S 0.749 0.749 0.749



2.
This record from Alexandria describes a relaxed structure of CaPm2ErS4. The functional is GGA-PBE.

## Properties
SG: No. 10
M_tot: 0.00 Bohr magnetons per cell
Fermi-level density of states: 2.80 states/eV/cell
formation energy (no corrections): -2.03 eV/atom
electronic total energy: -6.101 eV/atom

Unit cell a=6.877 b=3.958 c=6.953 alpha=90.00 beta=109.03 gamma=90.00
Fractional coordinates of all 8 atoms:
Ca 0.000 0.000 0.000
Pm 0.000 0.500 0.500
Pm 0.500 0.000 0.500
Er 0.500 0.500 0.000
S 0.251 0.500 0.240
S 0.258 0.000 0.764
S 0.742 0.000 0.236
S 0.749 0.500 0.760



3.
This record from Alexandria describes a relaxed structure of Ca2PmErS4. The functional is GGA-PBE.

## Properties
SG: No. 10
M_tot: 0.00 Bohr magnetons per cell
Fermi-level density of states: 3.30 states/eV/cell
formation energy (no corrections): -2.05 eV/atom
electronic total energy: -5.775 eV/atom

Unit cell a=6.868 b=3.960 c=6.970 alpha=90.00 beta=109.11 gamma=90.00
Fractional coordinates of all 8 atoms:
Ca 0.000 0.000 0.000
Ca 0.500 0.500 0.000
Pm 0.000 0.500 0.500
Er 0.500 0.000 0.500
S 0.258 0.000 0.750
S 0.259 0.500 0.255
S 0.741 0.500 0.745
S 0.742 0.000 0.250



4.
This record from Alexandria describes a relaxed structure of CaPmEr2Sb4. The functional is GGA-PBE.

## Properties
SG: No. 10
M_tot: 0.00 Bohr magnetons per cell
Fermi-level density of states: 3.55 states/eV/cell
formation energy (no corrections): -1.03 eV/atom
electronic total energy: -5.077 eV/atom

Unit cell a=7.673 b=4.405 c=7.718 alpha=90.00 beta=109.13 gamma=90.00
Fractional coordinates of all 8 atoms:
Ca 0.000 0.000 0.000
Pm 0.500 0.500 0.000
Er 0.000 0.500 0.500
Er 0.500 0.000 0.500
Sb 0.247 0.000 0.740
Sb 0.255 0.500 0.262
Sb 0.745 0.500 0.738
Sb 0.753 0.000 0.260



5.
This record from Alexandria describes a relaxed structure of CaPmEr4Se8. The functional is GGA-PBE.

## Properties
SG: No. 160
M_tot: 0.00 Bohr magnetons per cell
Fermi-level density of states: 3.90 states/eV/cell
formation energy (no corrections): -1.79 eV/atom
electronic total energy: -5.563 eV/atom

Unit cell a=8.474 b=8.474 c=8.474 alpha=59.52 beta=59.52 gamma=59.52
Fractional coordinates of all 14 atoms:
Ca 0.000 0.000 0.000
Pm 0.372 0.372 0.372
Er 0.372 0.372 0.880
Er 0.372 0.880 0.372
Er 0.748 0.748 0.748
Er 0.880 0.372 0.372
Se 0.128 0.128 0.595
Se 0.128 0.595 0.128
Se 0.135 0.135 0.135
Se 0.144 0.622 0.622
Se 0.595 0.128 0.128
Se 0.616 0.616 0.616
Se 0.622 0.144 0.622
Se 0.622 0.622 0.144



6.
This record from Alexandria describes a relaxed structure of Ca2Pm3ErSe6. The functional is GGA-PBE.

## Properties
SG: No. 12
M_tot: 0.00 Bohr magnetons per cell
Fermi-level density of states: 5.05 states/eV/cell
formation energy (no corrections): -1.86 eV/atom
electronic total energy: -5.503 eV/atom

Unit cell a=7.159 b=7.159 c=7.316 alpha=99.40 beta=99.40 gamma=120.06
Fractional coordinates of all 12 atoms:
Ca 0.166 0.834 0.000
Ca 0.834 0.166 0.000
Pm 0.000 0.000 0.500
Pm 0.328 0.672 0.500
Pm 0.672 0.328 0.500
Er 0.500 0.500 0.000
Se 0.092 0.421 0.762
Se 0.254 0.254 0.245
Se 0.421 0.092 0.762
Se 0.579 0.908 0.238
Se 0.746 0.746 0.755
Se 0.908 0.579 0.238



7.
This record from Alexandria describes a relaxed structure of CaPm4Er3Se8. The functional is GGA-PBE.

## Properties
SG: No. 166
M_tot: 0.00 Bohr magnetons per cell
Fermi-level density of states: 8.49 states/eV/cell
formation energy (no corrections): -1.80 eV/atom
electronic total energy: -5.710 eV/atom

Unit cell a=8.341 b=8.341 c=8.341 alpha=58.89 beta=58.89 gamma=58.89
Fractional coordinates of all 16 atoms:
Ca 0.000 0.000 0.000
Pm 0.000 0.000 0.500
Pm 0.000 0.500 0.000
Pm 0.500 0.000 0.000
Pm 0.500 0.500 0.500
Er 0.000 0.500 0.500
Er 0.500 0.000 0.500
Er 0.500 0.500 0.000
Se 0.247 0.247 0.743
Se 0.247 0.743 0.247
Se 0.255 0.255 0.255
Se 0.257 0.753 0.753
Se 0.743 0.247 0.247
Se 0.745 0.745 0.745
Se 0.753 0.257 0.753
Se 0.753 0.753 0.257



8.
This record from Alexandria describes a relaxed structure of Ca2PmErSe4. The functional is GGA-PBE.

## Properties
SG: No. 10
M_tot: 0.00 Bohr magnetons per cell
Fermi-level density of states: 3.37 states/eV/cell
formation energy (no corrections): -1.87 eV/atom
electronic total energy: -5.281 eV/atom

Unit cell a=7.157 b=4.126 c=7.272 alpha=90.00 beta=109.10 gamma=90.00
Fractional coordinates of all 8 atoms:
Ca 0.000 0.000 0.000
Ca 0.500 0.500 0.000
Pm 0.000 0.500 0.500
Er 0.500 0.000 0.500
Se 0.258 0.000 0.751
Se 0.258 0.500 0.254
Se 0.742 0.000 0.249
Se 0.742 0.500 0.746